a:
An optimized crystal structure of CrSb2Ru, computed with GGA-PBE.

abc: 3.235 3.235 7.917
angles: 90.00 90.00 90.00
Site moments in Bohr magnetons follow the coordinates.
Fractional coordinates of all 4 atoms:
Sb: 0.500 0.500 0.330  -0.05
Sb: 0.000 0.000 0.919  0.00
Cr: 0.000 0.000 0.532  2.95
Ru: 0.500 0.500 0.719  0.21

M_tot: 3.32 μB/cell

***

b:
An optimized crystal structure of CrSb2Ru, computed with GGA-PBE.

abc: 4.768 4.768 4.768
angles: 60.00 60.00 60.00
Site moments in Bohr magnetons follow the coordinates.
Fractional coordinates of all 4 atoms:
Sb: 0.250 0.250 0.250  0.00
Sb: 0.000 0.000 0.000  0.00
Ru: 0.750 0.750 0.750  0.42
Cr: 0.500 0.500 0.500  3.21

M_tot: 3.90 μB/cell

***

Which one sits at the top of the stability order? a does.

***

a:
An optimized crystal structure of CrSb2Ru, computed with GGA-PBE.

abc: 4.575 4.575 4.575
angles: 60.00 60.00 60.00
Fractional coordinates of all 4 atoms:
Sb: 0.750 0.750 0.750
Sb: 0.250 0.250 0.250
Ru: 0.500 0.500 0.500
Cr: 0.000 0.000 0.000

M_tot: 0.00 μB/cell

***

b:
An optimized crystal structure of CrSb2Ru, computed with GGA-PBE.

abc: 6.330 6.330 7.095
angles: 63.51 63.51 90.00
Site moments in Bohr magnetons follow the coordinates.
Fractional coordinates of all 8 atoms:
Cr: 0.250 0.750 0.500  3.53
Cr: 0.500 0.500 0.000  3.52
Sb: 0.875 0.898 0.750  -0.10
Sb: 0.648 0.125 0.250  -0.09
Sb: 0.102 0.625 0.250  -0.10
Sb: 0.375 0.352 0.750  -0.09
Ru: 0.000 0.000 0.000  0.14
Ru: 0.750 0.250 0.500  0.14

M_tot: 7.53 μB/cell

***

c:
An optimized crystal structure of CrSb2Ru, computed with GGA-PBE.

abc: 4.458 4.458 5.726
angles: 78.79 78.79 43.56
Site moments in Bohr magnetons follow the coordinates.
Fractional coordinates of all 4 atoms:
Sb: 0.493 0.493 0.512  -0.04
Sb: 0.007 0.007 0.988  -0.04
Ru: 0.750 0.750 0.750  0.02
Cr: 0.250 0.250 0.250  3.28

M_tot: 3.51 μB/cell

***

d:
An optimized crystal structure of CrSb2Ru, computed with GGA-PBE.

abc: 10.386 10.386 10.386
angles: 17.31 17.31 17.31
Site moments in Bohr magnetons follow the coordinates.
Fractional coordinates of all 4 atoms:
Sb: 0.026 0.026 0.026  0.01
Sb: 0.227 0.227 0.227  -0.10
Ru: 0.759 0.759 0.759  -0.17
Cr: 0.488 0.488 0.488  2.63

M_tot: 2.50 μB/cell

***

Which one sits at the top of the stability order? c does.

***

a:
An optimized crystal structure of CrSb2Ru, computed with GGA-PBE.

abc: 4.685 4.685 3.212
angles: 89.99 89.99 90.00
Site moments in Bohr magnetons follow the coordinates.
Fractional coordinates of all 4 atoms:
Ru: 0.000 0.500 0.500  -0.45
Sb: 0.000 0.000 0.000  -0.07
Sb: 0.500 0.500 0.000  -0.07
Cr: 0.500 0.000 0.500  2.25

M_tot: 1.69 μB/cell

***

b:
An optimized crystal structure of CrSb2Ru, computed with GGA-PBE.

abc: 6.220 6.220 6.220
angles: 145.16 146.45 49.15
Site moments in Bohr magnetons follow the coordinates.
Fractional coordinates of all 4 atoms:
Ru: 0.793 0.293 0.500  -0.19
Sb: 0.962 0.962 0.000  -0.11
Sb: 0.213 0.713 0.500  -0.06
Cr: 0.532 0.532 0.000  2.53

M_tot: 2.18 μB/cell

***

c:
An optimized crystal structure of CrSb2Ru, computed with GGA-PBE.

abc: 5.074 5.074 4.622
angles: 79.68 79.68 38.95
Site moments in Bohr magnetons follow the coordinates.
Fractional coordinates of all 4 atoms:
Sb: 0.250 0.250 0.334  -0.10
Sb: 0.002 0.002 0.925  -0.07
Cr: 0.522 0.522 0.413  2.61
Ru: 0.726 0.726 0.828  -0.20

M_tot: 2.32 μB/cell

***

d:
An optimized crystal structure of CrSb2Ru, computed with GGA-PBE.

abc: 8.480 8.480 8.480
angles: 22.06 22.06 22.06
Site moments in Bohr magnetons follow the coordinates.
Fractional coordinates of all 4 atoms:
Ru: 0.750 0.750 0.750  0.01
Sb: 0.497 0.497 0.497  -0.02
Sb: 0.003 0.003 0.003  -0.02
Cr: 0.250 0.250 0.250  3.01

M_tot: 3.26 μB/cell

***

Which one sits at the top of the stability order? c does.

***

a:
An optimized crystal structure of CrSb3Ru, computed with GGA-PBE.

abc: 5.084 5.084 5.084
angles: 90.00 90.00 90.00
Site moments in Bohr magnetons follow the coordinates.
Fractional coordinates of all 5 atoms:
Sb: 0.000 0.000 0.500  -0.03
Sb: 0.000 0.500 0.000  0.00
Sb: 0.500 0.000 0.000  0.01
Cr: 0.500 0.500 0.500  0.37
Ru: 0.000 0.000 0.000  -0.01

M_tot: 0.36 μB/cell

***

b:
An optimized crystal structure of CrSb3Ru, computed with GGA-PBE.

abc: 4.948 4.948 4.948
angles: 90.00 90.00 90.00
Site moments in Bohr magnetons follow the coordinates.
Fractional coordinates of all 5 atoms:
Ru: 0.500 0.500 0.500  1.12
Sb: 0.000 0.000 0.500  -0.06
Sb: 0.500 0.000 0.000  -0.10
Sb: 0.000 0.500 0.000  -0.08
Cr: 0.000 0.000 0.000  1.50

M_tot: 2.45 μB/cell

***

Which one sits at the top of the stability order? b does.

***

a:
An optimized crystal structure of Cr2SbRu2, computed with GGA-PBE.

abc: 7.303 7.303 2.826
angles: 90.00 90.00 90.00
Fractional coordinates of all 10 atoms:
Ru: 0.148 0.648 0.500
Ru: 0.648 0.852 0.500
Ru: 0.352 0.148 0.500
Ru: 0.852 0.352 0.500
Sb: 0.500 0.500 0.000
Sb: 0.000 0.000 0.000
Cr: 0.135 0.365 0.000
Cr: 0.865 0.635 0.000
Cr: 0.365 0.865 0.000
Cr: 0.635 0.135 0.000

M_tot: 0.00 μB/cell

***

b:
An optimized crystal structure of Cr2SbRu2, computed with GGA-PBE.

abc: 7.310 7.310 2.871
angles: 90.00 90.00 90.00
Site moments in Bohr magnetons follow the coordinates.
Fractional coordinates of all 10 atoms:
Sb: 0.500 0.500 0.000  -0.01
Sb: 0.000 0.000 0.000  -0.01
Cr: 0.343 0.157 0.500  1.78
Cr: 0.843 0.343 0.500  1.78
Cr: 0.157 0.657 0.500  1.78
Cr: 0.657 0.843 0.500  1.78
Ru: 0.367 0.867 0.000  -0.41
Ru: 0.633 0.133 0.000  -0.41
Ru: 0.867 0.633 0.000  -0.40
Ru: 0.133 0.367 0.000  -0.40

M_tot: 5.85 μB/cell

***

c:
An optimized crystal structure of Cr2SbRu2, computed with GGA-PBE.

abc: 3.978 3.978 5.710
angles: 69.61 69.61 90.00
Fractional coordinates of all 5 atoms:
Cr: 0.389 0.389 0.222
Cr: 0.611 0.611 0.778
Ru: 0.750 0.250 0.500
Ru: 0.250 0.750 0.500
Sb: 0.000 0.000 0.000

M_tot: 0.00 μB/cell

***

Which one sits at the top of the stability order? b does.

***

a:
An optimized crystal structure of ScCr2Ru, computed with GGA-PBE.

abc: 4.030 2.799 5.162
angles: 79.32 90.00 90.00
Fractional coordinates of all 4 atoms:
Ru: 0.000 0.483 0.480
Cr: 0.500 0.227 0.238
Cr: 0.000 0.036 0.031
Sc: 0.500 0.754 0.750

M_tot: 0.00 μB/cell

***

b:
An optimized crystal structure of ScCr2Ru, computed with GGA-PBE.

abc: 2.752 2.752 8.211
angles: 90.00 90.00 112.34
Fractional coordinates of all 4 atoms:
Ru: 0.000 0.000 0.482
Sc: 0.500 0.500 0.749
Cr: 0.000 0.000 0.033
Cr: 0.500 0.500 0.237

M_tot: 0.00 μB/cell

***

c:
An optimized crystal structure of ScCr2Ru, computed with GGA-PBE.

abc: 5.037 5.037 4.502
angles: 63.43 63.43 35.00
Site moments in Bohr magnetons follow the coordinates.
Fractional coordinates of all 4 atoms:
Cr: 0.259 0.259 0.241  -1.17
Cr: 0.976 0.976 0.024  1.48
Sc: 0.750 0.750 0.750  0.00
Ru: 0.515 0.515 0.485  0.04

M_tot: 0.38 μB/cell

***

d:
An optimized crystal structure of ScCr2Ru, computed with GGA-PBE.

abc: 3.008 3.008 6.347
angles: 90.00 90.00 90.00
Site moments in Bohr magnetons follow the coordinates.
Fractional coordinates of all 4 atoms:
Ru: 0.000 0.000 0.473  0.20
Cr: 0.000 0.000 0.038  0.86
Cr: 0.500 0.500 0.236  -0.57
Sc: 0.500 0.500 0.752  -0.04

M_tot: 0.49 μB/cell

***

Which one sits at the top of the stability order? d does.